Below is TaRu2W at its PBEsol-relaxed geometry, with properties calculated at the SCAN level.

Unit cell a=4.5594 b=4.5594 c=2.8992 alpha=90.00 beta=90.00 gamma=90.00
Fractional positions:
Ta  0.0000  0.0000  0.0000
Ru  0.0000  0.5000  0.5000
Ru  0.5000  0.0000  0.5000
W  0.5000  0.5000  0.0000

The total moment comes out at 0.171 μB per atom. As for the formation energy: -0.01 eV per atom. The value obtained for the theoretical density is 15.6 g cm⁻³.



Below is Mg2BeFe at its PBEsol-relaxed geometry, with properties calculated at the SCAN level.

Unit cell a=4.7147 b=4.7147 c=2.7598 alpha=90.00 beta=90.00 gamma=109.36
Fractional positions:
Mg  0.0000  0.5000  0.0000
Mg  0.5000  0.0000  0.0000
Be  0.0000  0.0000  0.5000
Fe  0.5000  0.5000  0.5000

The total moment comes out at 0.574 μB per atom. As for the formation energy: 0.32 eV per atom. The value obtained for the theoretical density is 3.3 g cm⁻³.